Below is a relaxed structure of HoScSi4, with properties calculated at the PBE level.

The magnetic moment comes out at 0.00 μB/f.u. Its uncorrected formation energy is -0.40 eV/atom. Its calculated total energy is -35.0 eV/f.u.

The structure belongs to space group Pbam (No. 55); the cell edges are 8.1674, 14.3282 and 3.8428 Å and the angles 90.00°, 90.00° and 90.00°. The inequivalent atoms are Ho at (0.1094, 0.1347, 0.0000), Sc at (0.1424, 0.4137, 0.0000), Si at (0.0300, 0.2937, 0.5000), Si at (0.1192, 0.5598, 0.5000), Si at (0.1299, 0.9674, 0.5000) and Si at (0.1870, 0.8061, 0.5000).